Nd2Cu12Ni5 | PBE | relaxed

Output
- VASP energy: -4.746 eV per atom
- SG: R-3m
- Energy of formation from the pure elements: -0.136 eV/atom

Cell lengths 6.4380, 6.4380, 6.4380 Å; angles 83.08, 83.08, 83.08 degrees
With the nearest neighbours (Å) after each atom.
Atoms (fractional coordinates):
1 Cu 0.7108 0.2892 0.0000  2 Ni 2.43, 6 Cu 2.47-2.63
2 Cu 0.7108 0.0000 0.2892  2 Ni 2.43, 6 Cu 2.47-2.63
3 Nd 0.3322 0.3322 0.3322  4 Ni 2.91-3.21, 12 Cu 3.05-3.15
4 Ni 0.0983 0.0983 0.0983  4 Ni 2.44-2.61, 3 Cu 2.64
5 Nd 0.6678 0.6678 0.6678  4 Ni 2.91-3.21, 12 Cu 3.05-3.15
6 Cu 0.8491 0.3439 0.3439  3 Ni 2.46-2.64, 6 Cu 2.51-2.63
7 Cu 0.2892 0.7108 0.0000  2 Ni 2.43, 6 Cu 2.47-2.63
8 Ni 0.0000 0.0000 0.5000  8 Cu 2.43-2.46, 2 Ni 2.61
9 Cu 0.6561 0.1509 0.6561  3 Ni 2.46-2.64, 6 Cu 2.51-2.63
10 Ni 0.0000 0.5000 0.0000  8 Cu 2.43-2.46, 2 Ni 2.61
11 Cu 0.0000 0.7108 0.2892  2 Ni 2.43, 6 Cu 2.47-2.63
12 Cu 0.2892 0.0000 0.7108  2 Ni 2.43, 6 Cu 2.47-2.63
13 Cu 0.6561 0.6561 0.1509  3 Ni 2.46-2.64, 6 Cu 2.51-2.63
14 Cu 0.3439 0.3439 0.8491  3 Ni 2.46-2.64, 6 Cu 2.51-2.63
15 Ni 0.5000 0.0000 0.0000  8 Cu 2.43-2.46, 2 Ni 2.61
16 Ni 0.9017 0.9017 0.9017  4 Ni 2.44-2.61, 3 Cu 2.64
17 Cu 0.0000 0.2892 0.7108  2 Ni 2.43, 6 Cu 2.47-2.63
18 Cu 0.3439 0.8491 0.3439  3 Ni 2.46-2.64, 6 Cu 2.51-2.63
19 Cu 0.1509 0.6561 0.6561  3 Ni 2.46-2.64, 6 Cu 2.51-2.63

=====

Ca2SnPPt6 | PBE | relaxed

Output
- VASP energy: -5.702 eV per atom
- SG: Pmmn
- Energy of formation from the pure elements: -0.736 eV/atom

Cell lengths 5.6310, 8.3731, 8.6950 Å; angles 90.00, 90.00, 90.00 degrees
With the nearest neighbours (Å) after each atom.
Atoms (fractional coordinates):
1 Pt 0.7487 0.5540 0.0000  1 P 2.30
2 Pt 0.7513 0.4460 0.5000  1 P 2.30
3 P 0.0000 0.7698 0.0000  6 Pt 2.30-2.45
4 Pt 0.5000 0.1086 0.7453  1 P 2.36
5 Pt 0.0000 0.8914 0.7547  1 P 2.36
6 Pt 0.7475 0.0083 0.0000  1 P 2.45, 1 Sn 2.74, 2 Pt 2.74
7 Ca 0.5000 0.7283 0.2614  7 Pt 3.04-3.34
8 P 0.5000 0.2302 0.5000  6 Pt 2.30-2.45
9 Ca 0.5000 0.7283 0.7386  7 Pt 3.04-3.34
10 Pt 0.7525 0.9917 0.5000  1 P 2.45, 1 Sn 2.74, 2 Pt 2.74
11 Pt 0.2525 0.0083 0.0000  1 P 2.45, 1 Sn 2.74, 2 Pt 2.74
12 Pt 0.2475 0.9917 0.5000  1 P 2.45, 1 Sn 2.74, 2 Pt 2.74
13 Pt 0.2487 0.4460 0.5000  1 P 2.30
14 Ca 0.0000 0.2717 0.7614  7 Pt 3.04-3.34
15 Pt 0.0000 0.8914 0.2453  1 P 2.36
16 Sn 0.0000 0.7105 0.5000  6 Pt 2.62-2.74
17 Pt 0.5000 0.1086 0.2547  1 P 2.36
18 Sn 0.5000 0.2895 0.0000  6 Pt 2.62-2.74
19 Ca 0.0000 0.2717 0.2386  7 Pt 3.04-3.34
20 Pt 0.2513 0.5540 0.0000  1 P 2.30

=====

Pa2ClO4 | PBE | relaxed

Output
- Energy relative to the elements, uncorrected: -2.949 eV per atom
- VASP energy: -8.759 eV per atom
- SG: P4_2/mnm

Cell lengths 3.4997, 7.5476, 7.5476 Å; angles 90.00, 90.00, 90.00 degrees
With the nearest neighbours (Å) after each atom.
Atoms (fractional coordinates):
1 O 0.0000 0.0712 0.3039  3 Pa 2.28-2.41, 1 O 2.48
2 Pa 0.5000 0.7414 0.7414  6 O 2.28-2.41
3 Pa 0.0000 0.7586 0.2414  6 O 2.28-2.41
4 O 0.5000 0.4288 0.8039  3 Pa 2.28-2.41, 1 O 2.48
5 O 0.5000 0.5712 0.1961  3 Pa 2.28-2.41, 1 O 2.48
6 O 0.5000 0.1961 0.5712  3 Pa 2.28-2.41, 1 O 2.48
7 Cl 0.5000 0.0000 0.0000  2 Pa 2.76, 8 O 2.93
8 O 0.0000 0.6961 0.9288  3 Pa 2.28-2.41, 1 O 2.48
9 Pa 0.0000 0.2414 0.7586  6 O 2.28-2.41
10 Pa 0.5000 0.2586 0.2586  6 O 2.28-2.41
11 Cl 0.0000 0.5000 0.5000  2 Pa 2.76, 8 O 2.93
12 O 0.5000 0.8039 0.4288  3 Pa 2.28-2.41, 1 O 2.48
13 O 0.0000 0.9288 0.6961  3 Pa 2.28-2.41, 1 O 2.48
14 O 0.0000 0.3039 0.0712  3 Pa 2.28-2.41, 1 O 2.48

=====

BaScIn2 | PBE | relaxed

Output
- VASP energy: -3.345 eV per atom
- SG: R3m
- Energy of formation from the pure elements: 0.088 eV/atom

Cell lengths 11.3791, 11.3791, 11.3791 Å; angles 18.01, 18.01, 18.01 degrees
With the nearest neighbours (Å) after each atom.
Atoms (fractional coordinates):
1 Ba 0.7496 0.7496 0.7496  6 Ba 3.56, 3 In 3.71, 3 Sc 3.77
2 In 0.9908 0.9908 0.9908  9 In 3.25-3.56
3 Sc 0.5104 0.5104 0.5104  3 In 3.18
4 In 0.2493 0.2493 0.2493  3 Sc 3.18, 3 In 3.25

=====

Tb2ThScSe4 | PBE | relaxed

Output
- Energy relative to the elements, uncorrected: -1.634 eV per atom
- VASP energy: -6.253 eV per atom
- SG: P2/m

Cell lengths 4.0433, 7.1533, 7.0319 Å; angles 109.04, 90.00, 90.00 degrees
With the nearest neighbours (Å) after each atom.
Atoms (fractional coordinates):
1 Se 0.0000 0.7646 0.2525  1 Sc 2.82, 3 Tb 2.84-2.96, 2 Th 2.94
2 Th 0.5000 0.5000 0.0000  6 Se 2.93-2.94
3 Tb 0.5000 0.0000 0.5000  6 Se 2.84
4 Sc 0.0000 0.0000 0.0000  6 Se 2.82
5 Tb 0.0000 0.5000 0.5000  6 Se 2.96
6 Se 0.5000 0.2345 0.2420  2 Sc 2.82, 3 Tb 2.84-2.96, 1 Th 2.93
7 Se 0.5000 0.7655 0.7580  2 Sc 2.82, 3 Tb 2.84-2.96, 1 Th 2.93
8 Se 0.0000 0.2354 0.7475  1 Sc 2.82, 3 Tb 2.84-2.96, 2 Th 2.94

=====

ErTm5 | PBE | relaxed

Output
- VASP energy: -4.491 eV per atom
- SG: Cm
- Energy of formation from the pure elements: -0.004 eV/atom

Cell lengths 3.5608, 6.5717, 8.2703 Å; angles 102.21, 90.00, 105.72 degrees
With the nearest neighbours (Å) after each atom.
Atoms (fractional coordinates):
1 Tm 0.6667 0.3334 0.3334  11 Tm 3.44-3.56, 1 Er 3.44
2 Tm 0.9999 0.9998 0.0005  9 Tm 3.44-3.56, 3 Er 3.44
3 Tm 0.3889 0.7779 0.2783  10 Tm 3.43-3.56, 2 Er 3.56
4 Tm 0.0555 0.1110 0.6106  10 Tm 3.44-3.56, 2 Er 3.56
5 Tm 0.3336 0.6672 0.6663  10 Tm 3.43-3.56, 2 Er 3.44
6 Er 0.7220 0.4441 0.9442  10 Tm 3.44-3.56, 2 Er 3.56

=====

GdInRuRh | PBE | relaxed

Output
- VASP energy: -8.778 eV per atom
- SG: F-43m
- Energy of formation from the pure elements: -0.417 eV/atom

Cell lengths 4.7145, 4.7145, 4.7145 Å; angles 60.00, 60.00, 60.00 degrees
With the nearest neighbours (Å) after each atom.
Atoms (fractional coordinates):
1 Rh 0.7500 0.7500 0.7500  4 In 2.89, 4 Gd 2.89
2 Ru 0.2500 0.2500 0.2500  4 Gd 2.89, 4 In 2.89
3 Gd 0.0000 0.0000 0.0000  4 Ru 2.89, 4 Rh 2.89
4 In 0.5000 0.5000 0.5000  4 Rh 2.89, 4 Ru 2.89

=====

TeHF | PBE | relaxed

Output
- VASP energy: -3.813 eV per atom
- SG: P1

Cell lengths 4.0817, 4.0796, 8.1512 Å; angles 82.41, 88.66, 90.38 degrees
With the nearest neighbours (Å) after each atom.
Atoms (fractional coordinates):
1 H 0.6847 0.6593 0.2782  1 F 1.01
2 F 0.9715 0.4825 0.2697  1 H 1.01
3 Te 0.9571 0.8824 0.7185  3 Te 2.85-3.06
4 F 0.4727 0.7845 0.2842  1 H 1.01
5 H 0.1845 0.6078 0.2758  1 F 1.01
6 Te 0.4826 0.3843 0.8357  3 Te 2.85-3.06

=====

Which formula does entry 6 have?
ErTm5

=====

What did the seventh record say?
GdInRuRh | PBE | relaxed

Output
- VASP energy: -8.778 eV per atom
- SG: F-43m
- Energy of formation from the pure elements: -0.417 eV/atom

Cell lengths 4.7145, 4.7145, 4.7145 Å; angles 60.00, 60.00, 60.00 degrees
With the nearest neighbours (Å) after each atom.
Atoms (fractional coordinates):
1 Rh 0.7500 0.7500 0.7500  4 In 2.89, 4 Gd 2.89
2 Ru 0.2500 0.2500 0.2500  4 Gd 2.89, 4 In 2.89
3 Gd 0.0000 0.0000 0.0000  4 Ru 2.89, 4 Rh 2.89
4 In 0.5000 0.5000 0.5000  4 Rh 2.89, 4 Ru 2.89

=====

Which formula does entry 8 have?
TeHF

=====

The lowest VASP energy belongs to which entry?
GdInRuRh